(1)
First-principles (PBE) data for an optimized crystal structure of Tm2CrB10, as listed in Alexandria.

Cell lengths 5.632, 11.250, 4.125 Å; angles 90.00, 90.00, 90.00 degrees
Atoms (fractional coordinates):
Tm  0.200  0.138  0.000
Tm  0.300  0.638  0.000
Tm  0.700  0.362  0.000
Tm  0.800  0.862  0.000
Cr  0.000  0.500  0.500
Cr  0.500  0.000  0.500
B  0.046  0.310  0.500
B  0.124  0.960  0.500
B  0.142  0.802  0.500
B  0.216  0.383  0.200
B  0.216  0.383  0.800
B  0.284  0.883  0.200
B  0.284  0.883  0.800
B  0.358  0.302  0.500
B  0.376  0.460  0.500
B  0.454  0.810  0.500
B  0.546  0.190  0.500
B  0.624  0.540  0.500
B  0.642  0.698  0.500
B  0.716  0.117  0.200
B  0.716  0.117  0.800
B  0.784  0.617  0.200
B  0.784  0.617  0.800
B  0.858  0.198  0.500
B  0.876  0.040  0.500
B  0.954  0.690  0.500

Summary:
Calculated formation energy   -0.377 eV per atom
Space group   Pbam, No. 55

---

(2)
First-principles (PBE) data for an optimized crystal structure of UCrB4, as listed in Alexandria.

Cell lengths 5.857, 11.354, 3.483 Å; angles 90.00, 90.00, 90.00 degrees
Atoms (fractional coordinates):
U  0.126  0.151  0.000
U  0.374  0.651  0.000
U  0.626  0.349  0.000
U  0.874  0.849  0.000
Cr  0.131  0.412  0.000
Cr  0.369  0.912  0.000
Cr  0.631  0.088  0.000
Cr  0.869  0.588  0.000
B  0.027  0.692  0.500
B  0.114  0.546  0.500
B  0.135  0.967  0.500
B  0.215  0.813  0.500
B  0.285  0.313  0.500
B  0.365  0.467  0.500
B  0.386  0.046  0.500
B  0.473  0.192  0.500
B  0.527  0.808  0.500
B  0.614  0.954  0.500
B  0.635  0.533  0.500
B  0.715  0.687  0.500
B  0.785  0.187  0.500
B  0.865  0.033  0.500
B  0.886  0.454  0.500
B  0.973  0.308  0.500

Summary:
Calculated formation energy   -0.579 eV per atom
Space group   Pbam, No. 55

---

(3)
First-principles (PBE) data for an optimized crystal structure of UCrB2, as listed in Alexandria.

Cell lengths 5.996, 5.996, 5.996 Å; angles 30.09, 30.09, 30.09 degrees
Atoms (fractional coordinates):
U  0.000  0.000  0.000
Cr  0.500  0.500  0.500
B  0.230  0.230  0.230
B  0.770  0.770  0.770

Summary:
Calculated formation energy   0.079 eV per atom
Space group   R-3m, No. 166

---

(4)
First-principles (PBE) data for an optimized crystal structure of V3CrB4, as listed in Alexandria.

Cell lengths 6.331, 6.331, 6.331 Å; angles 152.88, 137.57, 51.09 degrees
Atoms (fractional coordinates):
V  0.000  0.000  0.000
V  0.308  0.808  0.500
V  0.692  0.192  0.500
Cr  0.500  0.500  0.000
B  0.051  0.369  0.682
B  0.314  0.631  0.682
B  0.686  0.369  0.318
B  0.949  0.631  0.318

Summary:
Calculated formation energy   -0.353 eV per atom
Space group   Immm, No. 71